First-principles (PBE) data for crystalline Hg7Pt at its relaxed geometry, as listed in the Alexandria database.

Properties
Energy relative to the elements = 0.20 eV per atom
Fermi-level density of states = 0.5389 states/eV per atom
E = -6.55 eV/f.u.
Crystal system = cubic

```
Hg7Pt
1.0
0.000 4.486 4.486
4.486 0.000 4.486
4.486 4.486 0.000
Hg Pt
7 1
Direct
0.000 0.000 0.500
0.500 0.000 0.000
0.500 0.500 0.000
0.500 0.000 0.500
0.000 0.500 0.000
0.000 0.500 0.500
0.500 0.500 0.500
0.000 0.000 0.000
```